(1)
The following is a PBE-GGA calculation of crystalline NiC at its relaxed geometry, from Alexandria.

Output
calculated volume	38	Å³ per cell
energy of formation	1.9	eV/f.u.

abc: 3.4505 3.8500 3.2778
angles: 90.00 61.67 90.00
Positions (direct):
Ni  0.2430  0.0000  0.3172
Ni  0.0070  0.5000  0.9328
C  0.3490  0.5000  0.2622
C  0.9010  0.0000  0.9878

(2)
The following is a PBE-GGA calculation of crystalline MnBiRh2Br at its relaxed geometry, from Alexandria.

Output
calculated volume	143	Å³ per cell
DFT total energy	-4.7630	eV/atom

abc: 5.0053 5.6911 5.0053
angles: 90.00 90.00 90.00
Each line ends with the local moment (μB).
Positions (direct):
Rh  0.5000  0.0000  0.0000  -0.07
Rh  0.0000  0.0000  0.5000  -0.03
Br  0.0000  0.5000  0.0000  -0.04
Mn  0.5000  0.5000  0.5000  -4.52
Bi  0.0000  0.0000  0.0000  0.01

(3)
The following is a PBE-GGA calculation of crystalline Ho4Cu2HgIr at its relaxed geometry, from Alexandria.

Output
calculated volume	173	Å³ per cell
energy of formation	-4.0	eV/f.u.

abc: 4.9653 4.9653 8.5994
angles: 73.22 73.22 60.00
Positions (direct):
Ho  0.6177  0.6177  0.1470
Ho  0.8692  0.8692  0.3924
Ho  0.3823  0.3823  0.8530
Ho  0.1308  0.1308  0.6076
Cu  0.2553  0.2553  0.2341
Cu  0.7447  0.7447  0.7659
Hg  0.0000  0.0000  0.0000
Ir  0.5000  0.5000  0.5000

(4)
The following is a PBE-GGA calculation of crystalline NaGa2BiBr6 at its relaxed geometry, from Alexandria.

Output
calculated volume	655	Å³ per cell
DFT total energy	-2.9417	eV/atom

abc: 7.3746 8.1028 10.9622
angles: 90.00 88.43 90.00
Positions (direct):
Ga  0.0296  0.9241  0.2578
Ga  0.9704  0.0759  0.7422
Ga  0.5296  0.5759  0.7578
Ga  0.4704  0.4241  0.2422
Na  0.0000  0.5000  0.5000
Na  0.5000  0.0000  0.0000
Br  0.6746  0.3231  0.9390
Br  0.6468  0.0544  0.2550
Br  0.1468  0.4456  0.7550
Br  0.1637  0.1920  0.0731
Br  0.3363  0.6920  0.4269
Br  0.3532  0.9456  0.7450
Br  0.8532  0.5544  0.2450
Br  0.1746  0.1769  0.4390
Br  0.8363  0.8080  0.9269
Br  0.3254  0.6769  0.0610
Br  0.8254  0.8231  0.5610
Br  0.6637  0.3080  0.5731
Bi  0.5000  0.0000  0.5000
Bi  0.0000  0.5000  0.0000

no.,total magnetization (μB per formula unit)
1,0.00
2,5.03
3,0.00
4,0.00